# 1
Here is crystalline LaScHg at its relaxed geometry from Alexandria. Energies are from PBE.

Calculated values
E_form ... 1.19 eV per formula unit
Crystal system ... cubic
ρ ... 6.8 g/cm³
Uncorrected energy ... -10.4 eV/f.u.

POSCAR file:
```
LaScHg
1.0
0.0000 3.6030 3.6030
3.6030 0.0000 3.6030
3.6030 3.6030 0.0000
Sc Hg La
1 1 1
Cartesian
1.8015 1.8015 1.8015
5.4046 5.4046 5.4046
3.6030 3.6030 3.6030
```


# 2
Here is crystalline La2ScHg at its relaxed geometry from Alexandria. Energies are from PBE.

Calculated values
E_form ... -0.33 eV per formula unit
Crystal system ... trigonal
ρ ... 6.9 g/cm³
Uncorrected energy ... -16.8 eV/f.u.

POSCAR file:
```
La2ScHg
1.0
-2.6099 -7.7598 6.9977
-1.4256 -9.8283 4.1673
1.0027 -8.4535 6.5975
Hg La Sc
1 2 1
Cartesian
-2.2747 -19.5312 13.3218
-0.0053 -0.0453 0.0309
-1.5112 -12.9755 8.8503
-0.7582 -6.5104 4.4406
```


# 3
Here is crystalline LaSc5Hg6 at its relaxed geometry from Alexandria. Energies are from PBE.

Calculated values
E_form ... -4.89 eV per formula unit
Crystal system ... orthorhombic
ρ ... 9.3 g/cm³
Uncorrected energy ... -43.3 eV/f.u.

POSCAR file:
```
LaSc5Hg6
1.0
-1.5129 1.3932 4.5855
-5.0632 -5.2504 -0.0752
5.7388 -5.5461 0.8264
Sc Hg La
5 6 1
Cartesian
-1.6862 -3.4876 3.2534
-1.8057 -8.4210 1.9671
-2.5316 -2.6252 -0.0376
0.9685 -0.9822 3.3695
0.8490 -5.9156 2.0832
-1.2278 -6.3035 4.2703
1.1296 -3.8589 4.3053
-2.1183 -0.7156 2.2725
1.2810 -8.6876 3.0641
-1.9669 -5.5444 1.0313
0.3906 -3.0997 1.0664
0.0000 0.0000 0.0000
```


# 4
Here is crystalline LaScHg at its relaxed geometry from Alexandria. Energies are from PBE.

Calculated values
E_form ... -1.02 eV per formula unit
Crystal system ... tetragonal
ρ ... 7.4 g/cm³
Uncorrected energy ... -12.6 eV/f.u.

POSCAR file:
```
LaScHg
1.0
-2.1488 -2.2031 -3.6575
3.7095 -2.9908 -0.3779
-3.3243 -4.7299 4.8020
Sc Hg La
2 2 2
Cartesian
-1.6621 -2.3650 2.4010
-0.8818 -4.9619 0.3833
-0.5462 -4.9116 3.2793
-1.9977 -2.4153 -0.4950
1.4045 -2.1360 0.4614
-3.9484 -5.1909 2.3229
```


# 5
Here is crystalline La2ScHg at its relaxed geometry from Alexandria. Energies are from PBE.

Calculated values
E_form ... 0.28 eV per formula unit
Crystal system ... tetragonal
ρ ... 7.0 g/cm³
Uncorrected energy ... -16.2 eV/f.u.

POSCAR file:
```
La2ScHg
1.0
-8.7278 -0.2880 1.5190
1.4857 -3.9713 7.7837
-3.4690 0.6862 6.0590
Sc Hg La
2 2 4
Cartesian
-3.6210 -2.1297 4.6513
-2.8021 -2.7074 9.2470
0.0000 0.0000 0.0000
-7.9089 -0.8658 6.1147
-6.3058 -0.5105 3.4666
-0.8602 -2.3409 6.5399
-5.3463 -1.0055 7.8816
-8.9097 -3.2894 12.8352
```


# 6
Here is crystalline LaScHg2 at its relaxed geometry from Alexandria. Energies are from PBE.

Calculated values
E_form ... -0.29 eV per formula unit
Crystal system ... cubic
ρ ... 9.5 g/cm³
Uncorrected energy ... -12.2 eV/f.u.

POSCAR file:
```
LaScHg2
1.0
-3.5574 3.6721 1.1644
-4.9683 -0.5692 -1.5772
-3.7641 -1.0147 3.5068
Hg La Sc
2 1 1
Cartesian
0.0000 0.0000 0.0000
-3.0724 0.5221 0.7735
-6.1449 1.0441 1.5470
-9.2173 1.5662 2.3205
```


Per-record density of states at the Fermi level, states/eV/cell: 0.774, 5.004, 12.312, 5.516, 18.980, 5.746